## a
YAu2Br: relaxed, PBE-GGA.

Cell lengths 4.9149, 4.9149, 7.3086 Å; angles 99.70, 99.70, 46.77 degrees
Last column: nearest neighbours and their distance in Å.
Fractional coordinates of all 4 atoms:
Y: 0.0000 0.0000 0.0000  2 Br 2.85, 5 Au 2.92-3.00
Au: 0.4542 0.4542 0.2959  3 Au 2.81-2.85, 2 Y 3.00
Au: 0.7288 0.7288 0.1659  3 Au 2.81-2.85, 3 Y 2.92-2.94
Br: 0.3980 0.3980 0.7203  2 Y 2.85

spin magnetization	0.00	μB per formula unit

---

## b
YAu2Br: relaxed, PBE-GGA.

Cell lengths 7.4516, 7.4516, 7.4516 Å; angles 34.71, 34.71, 34.71 degrees
Last column: nearest neighbours and their distance in Å.
Fractional coordinates of all 4 atoms:
Y: 0.0000 0.0000 0.0000  3 Au 2.87, 3 Br 3.08
Au: 0.4395 0.4395 0.4395  3 Au 2.73
Au: 0.7280 0.7280 0.7280  3 Au 2.73, 3 Y 2.87
Br: 0.2526 0.2526 0.2526  3 Y 3.08

spin magnetization	0.00	μB per formula unit

---

Which of them is least stable? Easy: b.

---

## a
YAuBr2: relaxed, PBE-GGA.

Cell lengths 3.7220, 3.7220, 8.3573 Å; angles 90.00, 90.00, 90.00 degrees
Last column: nearest neighbours and their distance in Å.
Fractional coordinates of all 4 atoms:
Y: 0.0000 0.0000 0.0000  1 Br 2.90, 4 Au 2.99
Au: 0.5000 0.5000 0.1709  4 Y 2.99, 5 Br 3.02-3.35
Br: 0.0000 0.0000 0.3476  1 Y 2.90, 4 Au 3.02
Br: 0.5000 0.5000 0.7697  4 Y 3.26, 1 Au 3.35

spin magnetization	0.00	μB per formula unit

---

## b
YAuBr2: relaxed, PBE-GGA.

Cell lengths 5.1432, 5.1432, 5.1432 Å; angles 60.00, 60.00, 60.00 degrees
Last column: nearest neighbours and their distance in Å.
Fractional coordinates of all 4 atoms:
Y: 0.0000 0.0000 0.0000  8 Br 3.15
Au: 0.5000 0.5000 0.5000  8 Br 3.15
Br: 0.2500 0.2500 0.2500  4 Au 3.15, 4 Y 3.15
Br: 0.7500 0.7500 0.7500  4 Au 3.15, 4 Y 3.15

spin magnetization	0.00	μB per formula unit

---

Which of them is least stable? Easy: b.

---

## a
YAuBr: relaxed, PBE-GGA.

Cell lengths 4.9228, 4.9228, 4.9228 Å; angles 60.00, 60.00, 60.00 degrees
Last column: nearest neighbours and their distance in Å.
Fractional coordinates of all 3 atoms:
Y: 0.0000 0.0000 0.0000  4 Au 3.01
Au: 0.7500 0.7500 0.7500  4 Br 3.01, 4 Y 3.01
Br: 0.5000 0.5000 0.5000  4 Au 3.01

spin magnetization	0.00	μB per formula unit

---

## b
YAuBr: relaxed, PBE-GGA.

Cell lengths 3.9807, 3.9807, 6.8104 Å; angles 90.00, 90.00, 120.00 degrees
Last column: nearest neighbours and their distance in Å.
Fractional coordinates of all 3 atoms:
Y: 0.0000 0.0000 0.0000  3 Au 2.84, 3 Br 2.95
Au: 0.6667 0.3333 0.2461  3 Y 2.84
Br: 0.3333 0.6667 0.7273  3 Y 2.95

spin magnetization	0.00	μB per formula unit

---

## c
YAuBr: relaxed, PBE-GGA.

Cell lengths 4.9191, 4.9191, 4.9191 Å; angles 60.00, 60.00, 60.00 degrees
Last column: nearest neighbours and their distance in Å.
Fractional coordinates of all 3 atoms:
Y: 0.0000 0.0000 0.0000  4 Br 3.01, 4 Au 3.01
Au: 0.7500 0.7500 0.7500  4 Y 3.01
Br: 0.2500 0.2500 0.2500  4 Y 3.01

spin magnetization	0.17	μB per formula unit

---

Which of them is least stable? Easy: a.

---

## a
YAuBr: relaxed, PBE-GGA.

Cell lengths 11.4955, 11.4955, 3.7499 Å; angles 98.84, 98.84, 24.22 degrees
Last column: nearest neighbours and their distance in Å.
Fractional coordinates of all 6 atoms:
Y: 0.1790 0.1790 0.4333  2 Br 2.82, 6 Au 3.01-3.16
Y: 0.8210 0.8210 0.5667  2 Br 2.82, 6 Au 3.01-3.16
Au: 0.2851 0.2851 0.0331  2 Au 2.87, 6 Y 3.01-3.16
Au: 0.7149 0.7149 0.9669  2 Au 2.87, 6 Y 3.01-3.16
Br: 0.0842 0.0842 0.8439  2 Y 2.82
Br: 0.9158 0.9158 0.1561  2 Y 2.82

spin magnetization	0.00	μB per formula unit

---

## b
YAuBr: relaxed, PBE-GGA.

Cell lengths 7.1886, 7.1886, 7.1886 Å; angles 151.54, 151.54, 40.69 degrees
Last column: nearest neighbours and their distance in Å.
Fractional coordinates of all 3 atoms:
Y: 0.0000 0.0000 0.0000  4 Au 3.00, 4 Br 3.08
Au: 0.6234 0.6234 0.0000  4 Y 3.00
Br: 0.3663 0.3663 0.0000  4 Y 3.08

spin magnetization	0.00	μB per formula unit

---

Which of them is least stable? Easy: b.

---

## a
Y2AuBr: relaxed, PBE-GGA.

Cell lengths 8.2790, 8.2790, 8.2790 Å; angles 28.21, 28.21, 28.21 degrees
Last column: nearest neighbours and their distance in Å.
Fractional coordinates of all 4 atoms:
Y: 0.0000 0.0000 0.0000  3 Au 2.87
Y: 0.1922 0.1922 0.1922  3 Au 2.88
Au: 0.5966 0.5966 0.5966  6 Y 2.87-2.88
Br: 0.4261 0.4261 0.4261  6 Y 3.21-3.32

spin magnetization	0.00	μB per formula unit

---

## b
Y2AuBr: relaxed, PBE-GGA.

Cell lengths 5.3728, 5.3728, 5.3728 Å; angles 131.50, 115.64, 84.54 degrees
Last column: nearest neighbours and their distance in Å.
Fractional coordinates of all 4 atoms:
Y: 0.2463 0.2463 0.0000  2 Br 2.95, 2 Au 2.99
Y: 0.7537 0.7537 0.0000  2 Br 2.95, 2 Au 2.99
Au: 0.5000 0.0000 0.5000  4 Y 2.99
Br: 0.0000 0.5000 0.5000  4 Y 2.95

spin magnetization	0.00	μB per formula unit

---

## c
Y2AuBr: relaxed, PBE-GGA.

Cell lengths 8.1767, 8.1767, 8.1767 Å; angles 153.94, 152.40, 38.33 degrees
Last column: nearest neighbours and their distance in Å.
Fractional coordinates of all 4 atoms:
Y: 0.0000 0.0000 0.0000  2 Au 2.91, 4 Br 3.18
Y: 0.7856 0.2856 0.5000  4 Au 2.92
Au: 0.3601 0.8601 0.5000  6 Y 2.91-2.92
Br: 0.6105 0.6105 0.0000  6 Y 3.18-3.27

spin magnetization	0.00	μB per formula unit

---

## d
Y2AuBr: relaxed, PBE-GGA.

Cell lengths 7.9632, 7.9632, 7.9632 Å; angles 29.98, 29.98, 29.98 degrees
Last column: nearest neighbours and their distance in Å.
Fractional coordinates of all 4 atoms:
Y: 0.2375 0.2375 0.2375  3 Au 2.87
Y: 0.7625 0.7625 0.7625  3 Au 2.87
Au: 0.5000 0.5000 0.5000  6 Y 2.87
Br: 0.0000 0.0000 0.0000  6 Y 3.23

spin magnetization	0.00	μB per formula unit

---

Which of them is least stable? Easy: b.

---

## a
Y2AuBr: relaxed, PBE-GGA.

Cell lengths 10.2890, 10.2890, 10.2890 Å; angles 21.11, 21.11, 21.11 degrees
Last column: nearest neighbours and their distance in Å.
Fractional coordinates of all 4 atoms:
Y: 0.0000 0.0000 0.0000  3 Au 2.91
Y: 0.2385 0.2385 0.2385  3 Br 2.92
Au: 0.7309 0.7309 0.7309  3 Y 2.91
Br: 0.5072 0.5072 0.5072  3 Y 2.92

spin magnetization	1.20	μB per formula unit

---

## b
Y2AuBr: relaxed, PBE-GGA.

Cell lengths 5.2802, 5.2802, 5.2802 Å; angles 60.00, 60.00, 60.00 degrees
Last column: nearest neighbours and their distance in Å.
Fractional coordinates of all 4 atoms:
Y: 0.0000 0.0000 0.0000  4 Br 3.23, 4 Y 3.23
Y: 0.2500 0.2500 0.2500  4 Au 3.23, 4 Y 3.23
Au: 0.5000 0.5000 0.5000  4 Br 3.23, 4 Y 3.23
Br: 0.7500 0.7500 0.7500  4 Y 3.23, 4 Au 3.23

spin magnetization	1.42	μB per formula unit

---

Which of them is least stable? Easy: b.

---

## a
YAuBr3: relaxed, PBE-GGA.

Cell lengths 5.5772, 5.5772, 5.5772 Å; angles 90.00, 90.00, 90.00 degrees
Last column: nearest neighbours and their distance in Å.
Fractional coordinates of all 5 atoms:
Y: 0.0000 0.0000 0.0000  6 Br 2.79
Au: 0.5000 0.5000 0.5000  12 Br 3.94
Br: 0.0000 0.0000 0.5000  2 Y 2.79
Br: 0.0000 0.5000 0.0000  2 Y 2.79
Br: 0.5000 0.0000 0.0000  2 Y 2.79

spin magnetization	0.92	μB per formula unit

---

## b
YAuBr3: relaxed, PBE-GGA.

Cell lengths 5.3671, 5.3671, 5.3671 Å; angles 90.00, 90.00, 90.00 degrees
Last column: nearest neighbours and their distance in Å.
Fractional coordinates of all 5 atoms:
Y: 0.0000 0.0000 0.0000  12 Br 3.80
Au: 0.5000 0.5000 0.5000  6 Br 2.68
Br: 0.0000 0.5000 0.5000  2 Au 2.68
Br: 0.5000 0.0000 0.5000  2 Au 2.68
Br: 0.5000 0.5000 0.0000  2 Au 2.68

spin magnetization	1.07	μB per formula unit

---

Which of them is least stable? Easy: b.

---

## a
ZnAuBr2: relaxed, PBE-GGA.

Cell lengths 7.7623, 7.7623, 7.7623 Å; angles 151.09, 151.09, 41.35 degrees
Last column: nearest neighbours and their distance in Å.
Fractional coordinates of all 4 atoms:
Zn: 0.0000 0.0000 0.0000  4 Br 2.74
Au: 0.2500 0.7500 0.5000  4 Br 2.74
Br: 0.5000 0.5000 0.0000  4 Zn 2.74
Br: 0.7500 0.2500 0.5000  4 Au 2.74

spin magnetization	0.00	μB per formula unit

---

## b
ZnAuBr2: relaxed, PBE-GGA.

Cell lengths 7.2153, 7.2153, 7.2153 Å; angles 124.95, 124.95, 81.62 degrees
Last column: nearest neighbours and their distance in Å.
Fractional coordinates of all 8 atoms:
Zn: 0.0000 0.0000 0.0000  4 Br 2.51
Zn: 0.7500 0.2500 0.5000  4 Br 2.51
Au: 0.2500 0.7500 0.5000  4 Br 2.97
Au: 0.5000 0.5000 0.0000  4 Br 2.97
Br: 0.0681 0.6250 0.9431  2 Zn 2.51
Br: 0.3750 0.3181 0.4431  2 Zn 2.51
Br: 0.6819 0.1250 0.0569  2 Zn 2.51
Br: 0.8750 0.9319 0.5569  2 Zn 2.51

spin magnetization	0.00	μB per formula unit

---

## c
ZnAuBr2: relaxed, PBE-GGA.

Cell lengths 4.2998, 4.2998, 9.1174 Å; angles 90.00, 90.00, 129.93 degrees
Last column: nearest neighbours and their distance in Å.
Fractional coordinates of all 4 atoms:
Zn: 0.0000 0.0000 0.0000  2 Br 2.49, 2 Au 2.57
Au: 0.5000 0.5000 0.8002  2 Zn 2.57, 2 Br 2.61
Br: 0.0000 0.0000 0.5944  2 Au 2.61
Br: 0.5000 0.5000 0.1860  2 Zn 2.49

spin magnetization	0.00	μB per formula unit

---

## d
ZnAuBr2: relaxed, PBE-GGA.

Cell lengths 10.2751, 10.2751, 10.2751 Å; angles 19.94, 19.94, 19.94 degrees
Last column: nearest neighbours and their distance in Å.
Fractional coordinates of all 4 atoms:
Zn: 0.0000 0.0000 0.0000  6 Br 2.59
Au: 0.5000 0.5000 0.5000  2 Br 3.46, 6 Au 3.56
Br: 0.3856 0.3856 0.3856  3 Zn 2.59
Br: 0.6144 0.6144 0.6144  3 Zn 2.59

spin magnetization	0.00	μB per formula unit

---

Which of them is least stable? Easy: a.

---

## a
ZnAu2Br: relaxed, PBE-GGA.

Cell lengths 3.4588, 3.4588, 6.9417 Å; angles 90.00, 90.00, 90.00 degrees
Last column: nearest neighbours and their distance in Å.
Fractional coordinates of all 4 atoms:
Zn: 0.0000 0.0000 0.0000  5 Au 2.71-2.74
Au: 0.0000 0.0000 0.3899  1 Zn 2.71, 4 Au 2.85
Au: 0.5000 0.5000 0.1789  4 Zn 2.74, 4 Au 2.85
Br: 0.5000 0.5000 0.7348  4 Zn 3.06, 5 Au 3.08-3.42

spin magnetization	0.00	μB per formula unit

---

## b
ZnAu2Br: relaxed, PBE-GGA.

Cell lengths 8.8245, 8.8245, 8.8245 Å; angles 21.32, 21.32, 21.32 degrees
Last column: nearest neighbours and their distance in Å.
Fractional coordinates of all 4 atoms:
Zn: 0.0000 0.0000 0.0000  6 Au 2.66
Au: 0.2609 0.2609 0.2609  3 Zn 2.66
Au: 0.7391 0.7391 0.7391  3 Zn 2.66
Br: 0.5000 0.5000 0.5000  6 Au 3.08, 6 Br 3.26

spin magnetization	0.00	μB per formula unit

---

## c
ZnAu2Br: relaxed, PBE-GGA.

Cell lengths 6.9384, 6.9384, 6.9384 Å; angles 148.41, 148.41, 45.28 degrees
Last column: nearest neighbours and their distance in Å.
Fractional coordinates of all 4 atoms:
Zn: 0.0000 0.0000 0.0000  4 Au 2.67
Au: 0.2500 0.7500 0.5000  4 Br 2.67
Au: 0.5000 0.5000 0.0000  4 Zn 2.67
Br: 0.7500 0.2500 0.5000  4 Au 2.67

spin magnetization	0.00	μB per formula unit

---

## d
ZnAu2Br: relaxed, PBE-GGA.

Cell lengths 4.7547, 4.7547, 7.1549 Å; angles 114.85, 114.85, 48.86 degrees
Last column: nearest neighbours and their distance in Å.
Fractional coordinates of all 4 atoms:
Zn: 0.0000 0.0000 0.0000  1 Br 2.41, 3 Au 2.64-2.66
Au: 0.3374 0.3374 0.1046  3 Zn 2.66-2.72, 3 Au 2.75-2.76
Au: 0.6916 0.6916 0.2438  2 Zn 2.64, 1 Br 2.70, 3 Au 2.75-2.76
Br: 0.7569 0.7569 0.6512  1 Zn 2.41

spin magnetization	0.00	μB per formula unit

---

Which of them is least stable? Easy: c.

---

## a
Zn2AuBr: relaxed, PBE-GGA.

Cell lengths 5.1389, 5.1389, 3.4907 Å; angles 105.25, 105.25, 77.81 degrees
Last column: nearest neighbours and their distance in Å.
Fractional coordinates of all 4 atoms:
Zn: 0.0000 0.5000 0.0000  2 Br 2.70, 2 Au 2.70
Zn: 0.5000 0.0000 0.0000  2 Br 2.70, 2 Au 2.70
Au: 0.0000 0.0000 0.5000  4 Zn 2.70
Br: 0.5000 0.5000 0.5000  4 Zn 2.70

spin magnetization	0.00	μB per formula unit

---

## b
Zn2AuBr: relaxed, PBE-GGA.

Cell lengths 5.0740, 5.0740, 2.9991 Å; angles 90.00, 90.00, 90.00 degrees
Last column: nearest neighbours and their distance in Å.
Fractional coordinates of all 4 atoms:
Zn: 0.0000 0.5000 0.0000  4 Br 2.95, 4 Au 2.95, 2 Zn 3.00
Zn: 0.5000 0.0000 0.0000  4 Br 2.95, 4 Au 2.95, 2 Zn 3.00
Au: 0.0000 0.0000 0.5000  8 Zn 2.95, 2 Au 3.00
Br: 0.5000 0.5000 0.5000  8 Zn 2.95, 2 Br 3.00

spin magnetization	0.00	μB per formula unit

---

## c
Zn2AuBr: relaxed, PBE-GGA.

Cell lengths 7.0170, 7.0170, 7.0170 Å; angles 149.10, 149.10, 44.26 degrees
Last column: nearest neighbours and their distance in Å.
Fractional coordinates of all 4 atoms:
Zn: 0.0000 0.0000 0.0000  4 Br 2.64
Zn: 0.7500 0.2500 0.5000  4 Au 2.64
Au: 0.2500 0.7500 0.5000  4 Zn 2.64
Br: 0.5000 0.5000 0.0000  4 Zn 2.64

spin magnetization	0.00	μB per formula unit

---

## d
Zn2AuBr: relaxed, PBE-GGA.

Cell lengths 3.3114, 3.4122, 7.1870 Å; angles 90.00, 90.00, 90.00 degrees
Last column: nearest neighbours and their distance in Å.
Fractional coordinates of all 4 atoms:
Zn: 0.0000 0.0000 0.1961  2 Br 2.74, 4 Au 2.76, 1 Zn 2.82
Zn: 0.0000 0.0000 0.8039  2 Br 2.74, 4 Au 2.76, 1 Zn 2.82
Au: 0.5000 0.5000 0.0000  8 Zn 2.76
Br: 0.5000 0.0000 0.5000  4 Zn 2.74

spin magnetization	0.00	μB per formula unit

---

Which of them is least stable? Easy: b.